(1)
# TaCrFe3 | Alexandria | PBE | relaxed
# crystal system: cubic
# distance to the lowest polymorph of the same formula: 0 meV per atom
# spin magnetization: 0.53 μB per atom
# space group: Pm-3m
# ΔE_f: 0.9713 eV per atom
data_TaCrFe3
_chemical_formula_sum 'Ta1 Cr1 Fe3'
_space_group_name_H-M_alt 'P 1'
_space_group_IT_number 1
_cell_length_a 4.136
_cell_length_b 4.136
_cell_length_c 4.136
_cell_angle_alpha 90.00
_cell_angle_beta 90.00
_cell_angle_gamma 90.00
loop_
_space_group_symop_operation_xyz
'x,y,z'
loop_
_atom_site_label
_atom_site_fract_x
_atom_site_fract_y
_atom_site_fract_z
Cr1 0.000 0.000 0.000
Fe1 0.000 0.000 0.500
Fe2 0.000 0.500 0.000
Ta1 0.500 0.500 0.500
Fe3 0.500 0.000 0.000



(2)
# KLa2DyS4 | Alexandria | PBE | relaxed
# crystal system: monoclinic
# spin magnetization: 0.00 μB per atom
# space group: P2/m
# E_form (uncorrected): -1928 meV per atom
data_KLa2DyS4
_chemical_formula_sum 'K1 La2 Dy1 S4'
_space_group_name_H-M_alt 'P 1'
_space_group_IT_number 1
_cell_length_a 4.115
_cell_length_b 7.141
_cell_length_c 7.263
_cell_angle_alpha 70.99
_cell_angle_beta 90.00
_cell_angle_gamma 90.00
loop_
_space_group_symop_operation_xyz
'x,y,z'
loop_
_atom_site_label
_atom_site_fract_x
_atom_site_fract_y
_atom_site_fract_z
S1 0.500 0.260 0.733
S2 0.000 0.754 0.731
K1 0.500 0.500 0.000
S3 0.000 0.246 0.269
Dy1 0.000 0.500 0.500
La1 0.000 0.000 0.000
S4 0.500 0.740 0.267
La2 0.500 0.000 0.500



(3)
# Ce2Ge4MoPt3 | Alexandria | PBE | relaxed
# crystal system: tetragonal
# spin magnetization: 0.16 μB per atom
# space group: P-4m2
# ΔE_f: -0.7721 eV per atom
data_Ce2Ge4MoPt3
_chemical_formula_sum 'Ce2 Ge4 Mo1 Pt3'
_space_group_name_H-M_alt 'P 1'
_space_group_IT_number 1
_cell_length_a 4.340
_cell_length_b 4.340
_cell_length_c 10.230
_cell_angle_alpha 90.00
_cell_angle_beta 90.00
_cell_angle_gamma 90.00
loop_
_space_group_symop_operation_xyz
'x,y,z'
loop_
_atom_site_label
_atom_site_fract_x
_atom_site_fract_y
_atom_site_fract_z
Ce1 0.000 0.500 0.752
Ge1 0.500 0.000 0.631
Pt1 0.500 0.000 0.874
Ge2 0.000 0.500 0.369
Ce2 0.500 0.000 0.248
Ge3 0.500 0.500 0.000
Ge4 0.000 0.000 0.000
Mo1 0.500 0.500 0.500
Pt2 0.000 0.000 0.500
Pt3 0.000 0.500 0.126



(4)
# Li2ZrIn | Alexandria | PBE | relaxed
# crystal system: monoclinic
# spin magnetization: 0.00 μB per atom
# space group: P2/m
# ΔE_f: -0.0394 eV per atom
data_Li2ZrIn
_chemical_formula_sum 'Li2 Zr1 In1'
_space_group_name_H-M_alt 'P 1'
_space_group_IT_number 1
_cell_length_a 4.995
_cell_length_b 2.918
_cell_length_c 5.603
_cell_angle_alpha 86.59
_cell_angle_beta 90.00
_cell_angle_gamma 90.00
loop_
_space_group_symop_operation_xyz
'x,y,z'
loop_
_atom_site_label
_atom_site_fract_x
_atom_site_fract_y
_atom_site_fract_z
Zr1 0.500 0.250 0.250
Li1 0.000 0.910 0.003
Li2 0.000 0.590 0.497
In1 0.500 0.750 0.750



(5)
# RbSbTe2Pt | Alexandria | PBE | relaxed
# crystal system: tetragonal
# distance to the lowest polymorph of the same formula: 1948 meV per atom
# spin magnetization: 0.07 μB per atom
# space group: P4/mmm
# E_form (uncorrected): 1790 meV per atom
data_RbSbTe2Pt
_chemical_formula_sum 'Rb1 Sb1 Te2 Pt1'
_space_group_name_H-M_alt 'P 1'
_space_group_IT_number 1
_cell_length_a 6.078
_cell_length_b 6.078
_cell_length_c 5.948
_cell_angle_alpha 90.00
_cell_angle_beta 90.00
_cell_angle_gamma 90.00
loop_
_space_group_symop_operation_xyz
'x,y,z'
loop_
_atom_site_label
_atom_site_fract_x
_atom_site_fract_y
_atom_site_fract_z
Rb1 0.000 0.000 0.000
Te1 0.000 0.500 0.000
Te2 0.500 0.000 0.000
Pt1 0.500 0.500 0.500
Sb1 0.000 0.000 0.500



(6)
# SrAg2Se | Alexandria | PBE | relaxed
# crystal system: trigonal
# spin magnetization: 0.00 μB per atom
# space group: R3m
# E_form (uncorrected): -535 meV per atom
data_SrAg2Se
_chemical_formula_sum 'Sr1 Ag2 Se1'
_space_group_name_H-M_alt 'P 1'
_space_group_IT_number 1
_cell_length_a 4.466
_cell_length_b 4.466
_cell_length_c 6.606
_cell_angle_alpha 70.27
_cell_angle_beta 70.27
_cell_angle_gamma 60.04
loop_
_space_group_symop_operation_xyz
'x,y,z'
loop_
_atom_site_label
_atom_site_fract_x
_atom_site_fract_y
_atom_site_fract_z
Sr1 0.243 0.243 0.272
Ag1 0.023 0.023 0.931
Ag2 0.751 0.751 0.747
Se1 0.483 0.483 0.551



(7)
# Ce2HoTl3S6 | Alexandria | PBE | relaxed
# crystal system: monoclinic
# spin magnetization: 0.17 μB per atom
# space group: C2/m
# E_form (uncorrected): -1425 meV per atom
data_Ce2HoTl3S6
_chemical_formula_sum 'Ce2 Ho1 Tl3 S6'
_space_group_name_H-M_alt 'P 1'
_space_group_IT_number 1
_cell_length_a 7.163
_cell_length_b 7.163
_cell_length_c 7.863
_cell_angle_alpha 98.73
_cell_angle_beta 98.73
_cell_angle_gamma 119.98
loop_
_space_group_symop_operation_xyz
'x,y,z'
loop_
_atom_site_label
_atom_site_fract_x
_atom_site_fract_y
_atom_site_fract_z
S1 0.934 0.609 0.801
S2 0.258 0.258 0.799
Ho1 0.000 0.000 0.000
Ce1 0.667 0.333 0.000
S3 0.066 0.391 0.199
Ce2 0.333 0.667 0.000
S4 0.391 0.066 0.199
S5 0.609 0.934 0.801
Tl1 0.834 0.166 0.500
S6 0.742 0.742 0.201
Tl2 0.166 0.834 0.500
Tl3 0.500 0.500 0.500



(8)
# Pm2AgPd3Au12 | Alexandria | PBE | relaxed
# crystal system: trigonal
# spin magnetization: 0.00 μB per atom
# space group: R-3m
# ΔE_f: 0.0528 eV per atom
data_Pm2AgPd3Au12
_chemical_formula_sum 'Pm2 Ag1 Pd3 Au12'
_space_group_name_H-M_alt 'P 1'
_space_group_IT_number 1
_cell_length_a 8.232
_cell_length_b 8.232
_cell_length_c 8.232
_cell_angle_alpha 63.80
_cell_angle_beta 63.80
_cell_angle_gamma 63.80
loop_
_space_group_symop_operation_xyz
'x,y,z'
loop_
_atom_site_label
_atom_site_fract_x
_atom_site_fract_y
_atom_site_fract_z
Au1 0.625 0.625 0.124
Pm1 0.613 0.613 0.613
Au2 0.857 0.384 0.857
Au3 0.616 0.143 0.143
Au4 0.124 0.625 0.625
Au5 0.375 0.375 0.876
Au6 0.384 0.857 0.857
Pd1 0.000 0.000 0.500
Pd2 0.000 0.500 0.000
Pm2 0.387 0.387 0.387
Au7 0.857 0.857 0.384
Ag1 0.000 0.000 0.000
Au8 0.876 0.375 0.375
Au9 0.143 0.143 0.616
Au10 0.625 0.124 0.625
Pd3 0.500 0.000 0.000
Au11 0.143 0.616 0.143
Au12 0.375 0.876 0.375